# 1
DFT (GGA-PBE) results for a relaxed ReIrRh4 crystal.

ΔE to the lowest computed polymorph = 0.202 eV per atom

abc: 5.2279 7.4027 5.2592
angles: 90.00 118.05 90.00
Closest atoms and distances in Å follow each position.
Space group C2/m (No. 12)
Inequivalent atoms, fractional coordinates:
Re 0.0000 0.0000 0.0000 (multiplicity 2)  8 Rh 2.62-2.68, 2 Ir 2.70
Ir 0.0000 0.5000 0.5000 (multiplicity 2)  8 Rh 2.66-2.68, 2 Re 2.70
Rh 0.2433 0.1890 0.7514 (multiplicity 8)  2 Re 2.62-2.68, 2 Ir 2.66-2.68, 7 Rh 2.67-2.83

***

# 2
DFT (GGA-PBE) results for a relaxed Re2IrRh crystal.

ΔE to the lowest computed polymorph = 0.131 eV per atom

abc: 3.8440 3.8440 7.8898
angles: 90.00 90.00 90.00
Closest atoms and distances in Å follow each position.
Space group I4/mmm (No. 139)
Inequivalent atoms, fractional coordinates:
Re 0.0000 0.5000 0.2500 (multiplicity 4)  4 Re 2.72, 4 Ir 2.75, 4 Rh 2.75
Ir 0.0000 0.0000 0.0000 (multiplicity 2)  4 Rh 2.72, 8 Re 2.75
Rh 0.0000 0.0000 0.5000 (multiplicity 2)  4 Ir 2.72, 8 Re 2.75

***

# 3
DFT (GGA-PBE) results for a relaxed Re2IrRh crystal.

ΔE to the lowest computed polymorph = 0.172 eV per atom

abc: 9.1599 2.7400 4.7310
angles: 90.00 99.85 90.00
Closest atoms and distances in Å follow each position.
Space group C2/m (No. 12)
Inequivalent atoms, fractional coordinates:
Re 0.2482 0.0000 0.2481 (multiplicity 4)  6 Re 2.72-2.74, 3 Ir 2.74-2.76, 3 Rh 2.74-2.77
Ir 0.0000 0.5000 0.0000 (multiplicity 2)  4 Rh 2.73, 2 Ir 2.74, 6 Re 2.74-2.76
Rh 0.0000 0.0000 0.5000 (multiplicity 2)  4 Ir 2.73, 2 Rh 2.74, 6 Re 2.74-2.77

***

# 4
DFT (GGA-PBE) results for a relaxed Re2IrRh crystal.

ΔE to the lowest computed polymorph = 0.172 eV per atom

abc: 2.7535 2.7535 26.7379
angles: 90.00 90.00 120.00
Closest atoms and distances in Å follow each position.
Space group R-3m (No. 166, hexagonal axes)
Inequivalent atoms, fractional coordinates:
Re 0.0000 0.0000 0.2500 (multiplicity 6)  3 Ir 2.74, 3 Rh 2.74, 6 Re 2.75
Ir 0.0000 0.0000 0.0000 (multiplicity 3)  6 Re 2.74, 6 Ir 2.75
Rh 0.0000 0.0000 0.5000 (multiplicity 3)  6 Re 2.74, 6 Rh 2.75

***

# 5
DFT (GGA-PBE) results for a relaxed Re3IrRh6 crystal.

abc: 9.4637 5.1032 6.5793
angles: 90.00 105.94 90.00
Closest atoms and distances in Å follow each position.
Space group C2/m (No. 12)
Inequivalent atoms, fractional coordinates:
Re 0.0000 0.0000 0.0000 (multiplicity 2)  4 Rh 2.50, 2 Re 2.63
Re 0.1045 0.0000 0.6683 (multiplicity 4)  2 Re 2.53-2.63, 2 Rh 2.55
Ir 0.0000 0.5000 0.5000 (multiplicity 2)  6 Rh 2.55-2.78, 4 Re 2.85
Rh 0.1567 0.2526 0.3043 (multiplicity 8)  2 Re 2.50-2.55, 3 Rh 2.52-2.69, 1 Ir 2.55
Rh 0.1593 0.5000 0.9229 (multiplicity 4)  1 Ir 2.78, 6 Rh 2.81-3.09, 5 Re 2.99-3.08

***

# 6
DFT (GGA-PBE) results for a relaxed ReIr6Rh3 crystal.

abc: 4.7268 4.7268 8.2900
angles: 90.00 90.00 120.00
Closest atoms and distances in Å follow each position.
Space group P-31m (No. 162)
Inequivalent atoms, fractional coordinates:
Re 0.0000 0.0000 0.0000 (multiplicity 1)  6 Ir 2.53
Ir 0.0000 0.3529 0.7709 (multiplicity 6)  1 Re 2.53, 4 Ir 2.65, 3 Rh 2.72-2.80
Rh 0.0000 0.0000 0.5000 (multiplicity 1)  6 Rh 2.73, 6 Ir 2.80
Rh 0.3333 0.6667 0.5000 (multiplicity 2)  6 Ir 2.72, 6 Rh 2.73

***

# 7
DFT (GGA-PBE) results for a relaxed ReIr2Rh crystal.

ΔE to the lowest computed polymorph = 0.063 eV per atom

abc: 9.1009 2.7290 4.7438
angles: 90.00 99.87 90.00
Closest atoms and distances in Å follow each position.
Space group Cm (No. 8)
Inequivalent atoms, fractional coordinates:
Re 0.0000 0.0000 0.0000 (multiplicity 2)  7 Ir 2.72-2.75, 2 Re 2.73, 3 Rh 2.74
Ir 0.2476 0.5000 0.2445 (multiplicity 2)  3 Re 2.72-2.75, 4 Rh 2.72-2.75, 5 Ir 2.73-2.76
Ir 0.4961 0.0000 0.4973 (multiplicity 2)  3 Rh 2.71-2.77, 5 Ir 2.73-2.76, 4 Re 2.73-2.74
Rh 0.2499 0.0000 0.7492 (multiplicity 2)  7 Ir 2.71-2.77, 2 Rh 2.73, 3 Re 2.74

***

# 8
DFT (GGA-PBE) results for a relaxed ReIrRh2 crystal.

ΔE to the lowest computed polymorph = 0.004 eV per atom

abc: 2.7245 3.8773 5.4514
angles: 90.00 90.00 90.00
Closest atoms and distances in Å follow each position.
Space group Pmm2 (No. 25)
Inequivalent atoms, fractional coordinates:
Re 0.0000 0.0000 0.0000 (multiplicity 1)  4 Ir 2.71, 6 Rh 2.72-2.73, 2 Re 2.72
Ir 0.5000 0.5000 0.7570 (multiplicity 1)  6 Rh 2.69-2.76, 4 Re 2.71, 2 Ir 2.72
Rh 0.0000 0.0000 0.5014 (multiplicity 1)  2 Re 2.72-2.73, 6 Rh 2.72-2.74, 4 Ir 2.75
Rh 0.5000 0.5000 0.2499 (multiplicity 1)  2 Ir 2.69-2.76, 6 Rh 2.72-2.74, 4 Re 2.73

***

# 9
DFT (GGA-PBE) results for a relaxed ReIr2Rh crystal.

ΔE to the lowest computed polymorph = 0.526 eV per atom

abc: 6.2038 6.2038 6.2038
angles: 90.00 90.00 90.00
Closest atoms and distances in Å follow each position.
Space group Fm-3m (No. 225)
Inequivalent atoms, fractional coordinates:
Re 0.0000 0.0000 0.0000 (multiplicity 4)  8 Ir 2.69
Ir 0.2500 0.2500 0.2500 (multiplicity 8)  4 Re 2.69, 4 Rh 2.69
Rh 0.0000 0.0000 0.5000 (multiplicity 4)  8 Ir 2.69

***

# 10
DFT (GGA-PBE) results for a relaxed Re2Ir4Rh3 crystal.

abc: 4.7846 7.0258 8.5035
angles: 71.91 73.93 89.79
Closest atoms and distances in Å follow each position.
Space group P-1 (No. 2)
Inequivalent atoms, fractional coordinates:
Re 0.1113 0.3628 0.1115 (multiplicity 2)  5 Ir 2.68-2.77, 2 Re 2.70-2.73, 5 Rh 2.70-2.76
Re 0.3339 0.9154 0.6662 (multiplicity 2)  5 Rh 2.68-2.76, 5 Ir 2.70-2.77, 2 Re 2.71-2.73
Ir 0.0019 0.5831 0.3323 (multiplicity 2)  5 Rh 2.70-2.77, 6 Ir 2.71-2.77, 1 Re 2.73
Ir 0.2243 0.9767 0.2181 (multiplicity 2)  3 Re 2.68-2.77, 5 Rh 2.68-2.76, 4 Ir 2.70-2.75
Ir 0.3338 0.7488 0.0006 (multiplicity 2)  4 Re 2.69-2.77, 3 Ir 2.70-2.75, 5 Rh 2.70-2.77
Ir 0.4452 0.6969 0.4434 (multiplicity 2)  2 Re 2.70-2.73, 5 Rh 2.70-2.78, 5 Ir 2.72-2.77
Rh 0.1100 0.1929 0.4435 (multiplicity 2)  2 Rh 2.69-2.72, 4 Re 2.70-2.75, 6 Ir 2.71-2.77
Rh 0.2229 0.1397 0.8880 (multiplicity 2)  8 Ir 2.68-2.77, 2 Rh 2.73-2.74, 2 Re 2.76
Rh 0.4445 0.5308 0.7786 (multiplicity 2)  4 Re 2.68-2.75, 6 Ir 2.70-2.78, 2 Rh 2.72-2.73

***

# 11
DFT (GGA-PBE) results for a relaxed Re2IrRh crystal.

ΔE to the lowest computed polymorph = 0.517 eV per atom

abc: 6.2021 6.2021 6.2021
angles: 90.00 90.00 90.00
Closest atoms and distances in Å follow each position.
Space group F-43m (No. 216)
Inequivalent atoms, fractional coordinates:
Re 0.0000 0.0000 0.0000 (multiplicity 4)  4 Rh 2.69, 4 Re 2.69
Re 0.2500 0.2500 0.2500 (multiplicity 4)  4 Re 2.69, 4 Ir 2.69
Ir 0.0000 0.0000 0.5000 (multiplicity 4)  4 Re 2.69, 4 Rh 2.69
Rh 0.2500 0.2500 0.7500 (multiplicity 4)  4 Re 2.69, 4 Ir 2.69

***

# 12
DFT (GGA-PBE) results for a relaxed ReIr2Rh4 crystal.

abc: 5.0314 6.7264 6.8582
angles: 63.88 83.29 83.97
Closest atoms and distances in Å follow each position.
Space group P1 (No. 1)
Inequivalent atoms, fractional coordinates:
Re 0.0000 0.0000 0.0000 (multiplicity 1)  4 Ir 2.56-2.69, 5 Rh 2.65-2.78
Re 0.4745 0.5948 0.7165 (multiplicity 1)  4 Ir 2.58-2.78, 7 Rh 2.63-2.77
Ir 0.0808 0.8823 0.6895 (multiplicity 1)  2 Re 2.56-2.58, 4 Rh 2.58-2.77, 2 Ir 2.70-2.79
Ir 0.1897 0.5811 0.0945 (multiplicity 1)  8 Rh 2.60-2.85, 2 Re 2.69-2.78, 1 Ir 2.70
Ir 0.5219 0.1971 0.0250 (multiplicity 1)  2 Re 2.59-2.65, 1 Ir 2.66, 6 Rh 2.67-2.84
Ir 0.7589 0.2650 0.6349 (multiplicity 1)  7 Rh 2.59-2.74, 2 Ir 2.66-2.79, 2 Re 2.69-2.74
Rh 0.0698 0.1550 0.2831 (multiplicity 1)  3 Ir 2.58-2.68, 5 Rh 2.64-2.81, 1 Re 2.65
Rh 0.2636 0.3536 0.5381 (multiplicity 1)  3 Ir 2.59-2.79, 5 Rh 2.70-2.80, 1 Re 2.77
Rh 0.3790 0.7828 0.3026 (multiplicity 1)  7 Rh 2.59-2.76, 2 Re 2.63-2.78, 2 Ir 2.66-2.71
Rh 0.5649 0.0310 0.4553 (multiplicity 1)  7 Rh 2.62-2.77, 3 Ir 2.68-2.77, 1 Re 2.74
Rh 0.5699 0.8715 0.8883 (multiplicity 1)  5 Ir 2.65-2.93, 3 Rh 2.67-2.71, 2 Re 2.71-2.72
Rh 0.6797 0.4695 0.2063 (multiplicity 1)  4 Ir 2.60-2.84, 7 Rh 2.64-2.80
Rh 0.8786 0.6999 0.4061 (multiplicity 1)  6 Rh 2.59-2.84, 2 Re 2.67, 2 Ir 2.74-2.85
Rh 0.9675 0.4446 0.8521 (multiplicity 1)  4 Ir 2.62-2.76, 3 Re 2.69-2.75, 4 Rh 2.73-2.84

***

Per-record DOS(E_F), states/eV/cell: 13.421 8.008 8.677 8.690 20.895 14.890 8.482 4.527 22.808 16.678 14.400 16.570
Per-record final energy, eV per atom: -8.32 -10.38 -10.34 -10.34 -8.75 -8.40 -9.46 -9.11 -8.99 -9.26 -9.99 -8.43